! Sr3MnRe GGA-PBE relaxed; values from VASP
&SYSTEM
  ibrav = 0, nat = 5, ntyp = 3
/
ATOMIC_SPECIES
Re 186.21 Re.upf
Mn 54.94 Mn.upf
Sr 87.62 Sr.upf
CELL_PARAMETERS angstrom
5.849 0.000 0.000
0.000 5.849 0.000
0.000 0.000 5.849
ATOMIC_POSITIONS crystal
Re 0.000 0.000 0.000
Mn 0.500 0.500 0.500
Sr 0.500 0.000 0.000
Sr 0.000 0.000 0.500
Sr 0.000 0.500 0.000
! Energy relative to the lowest polymorph listed for this composition (kJ/mol of formula units): 0
! D(E_F) (states/eV/f.u.): 4.90
! Crystal system: cubic
! Space group: Pm-3m, No. 221
! Energy relative to the elements (eV/atom): 1.117
! Volume (A^3/atom): 40.0
! Total magnetization (μB/f.u.): 6.3